# 1
The following is a DFT calculation (PBE) of an optimized crystal structure of PaSnH.

a b c (Å): 4.1359 4.1359 8.1217
angles (deg): 90.00 90.00 90.00
Fractional coordinates of all 6 atoms:
Pa 0.0000 0.0000 0.0000
Pa 0.5000 0.5000 0.5000
Sn 0.0000 0.0000 0.3826
Sn 0.5000 0.5000 0.8826
H 0.0000 0.0000 0.7434
H 0.5000 0.5000 0.2434

Properties
As for the raw total energy: -5.183 eV per atom. As for the magnetic moment: 0.00 μB/cell. The space group is No. 107. The calculated density comes out at 8.385 g/cm3.



# 2
The following is a DFT calculation (PBE) of an optimized crystal structure of ZrTi2.

a b c (Å): 4.7081 4.7081 3.0222
angles (deg): 90.00 90.00 120.00
Fractional coordinates of all 3 atoms:
Zr 0.0000 0.0000 0.0000
Ti 0.3333 0.6667 0.5000
Ti 0.6667 0.3333 0.5000

Properties
As for the raw total energy: -8.079 eV per atom. As for the magnetic moment: 0.00 μB/cell. The space group is No. 191. The calculated density comes out at 5.351 g/cm3. The calculation puts the formation energy at 0.033 eV per atom.



# 3
The following is a DFT calculation (PBE) of an optimized crystal structure of BeSiBr.

a b c (Å): 3.3741 3.3741 10.3609
angles (deg): 90.00 90.00 90.00
Fractional coordinates of all 6 atoms:
Be 0.0000 0.0000 0.0000
Be 0.5000 0.5000 0.5000
Si 0.0000 0.0000 0.5464
Si 0.5000 0.5000 0.0464
Br 0.0000 0.0000 0.7830
Br 0.5000 0.5000 0.2830

Properties
The formation energy from raw total energies is 0.312 eV per atom. As for the raw total energy: -3.295 eV per atom. As for the magnetic moment: 0.00 μB/cell. The space group is No. 107. The calculated density comes out at 3.294 g/cm3.



# 4
The following is a DFT calculation (PBE) of an optimized crystal structure of GaNi2Rh2.

a b c (Å): 9.4532 2.7665 5.6466
angles (deg): 90.00 110.06 90.00
Fractional coordinates of all 10 atoms:
Ga 0.0000 0.0000 0.0000
Ga 0.5000 0.5000 0.0000
Ni 0.1790 0.5000 0.3116
Ni 0.3210 0.0000 0.6884
Ni 0.6790 0.0000 0.3116
Ni 0.8210 0.5000 0.6884
Rh 0.1053 0.5000 0.7181
Rh 0.3947 0.0000 0.2819
Rh 0.6053 0.0000 0.7181
Rh 0.8947 0.5000 0.2819

Properties
As for the raw total energy: -5.812 eV per atom. As for the magnetic moment: 0.67 μB/cell. The space group is No. 12. The calculated density comes out at 9.407 g/cm3. The calculation puts the formation energy at 0.047 eV per atom.



# 5
The following is a DFT calculation (PBE) of an optimized crystal structure of Sc3BeC2.

a b c (Å): 6.1499 6.1499 6.1499
angles (deg): 117.07 99.38 112.45
Fractional coordinates of all 12 atoms:
Sc 0.2018 0.0000 0.7018
Sc 0.2018 0.5000 0.2018
Sc 0.2900 0.0400 0.2500
Sc 0.7100 0.9600 0.7500
Sc 0.7982 0.0000 0.2982
Sc 0.7982 0.5000 0.7982
Be 0.3198 0.5698 0.7500
Be 0.6802 0.4302 0.2500
C 0.0485 0.2985 0.7500
C 0.5000 0.0000 0.0000
C 0.5000 0.5000 0.5000
C 0.9515 0.7015 0.2500

Properties
As for the raw total energy: -7.041 eV per atom. As for the magnetic moment: 0.00 μB/cell. The space group is No. 74. The calculated density comes out at 3.193 g/cm3. The calculation puts the formation energy at -0.180 eV per atom.



# 6
The following is a DFT calculation (PBE) of an optimized crystal structure of Ti4Fe2Co3.

a b c (Å): 4.1321 4.1321 7.8240
angles (deg): 90.00 90.00 120.00
Fractional coordinates of all 9 atoms:
Ti 0.0000 0.0000 0.1685
Ti 0.0000 0.0000 0.8315
Ti 0.3333 0.6667 0.3874
Ti 0.6667 0.3333 0.6126
Fe 0.3333 0.6667 0.7185
Fe 0.6667 0.3333 0.2815
Co 0.0000 0.0000 0.5000
Co 0.3333 0.6667 0.0595
Co 0.6667 0.3333 0.9405

Properties
As for the raw total energy: -8.040 eV per atom. As for the magnetic moment: 2.69 μB/cell. The space group is No. 164. The calculated density comes out at 6.889 g/cm3. The calculation puts the formation energy at -0.282 eV per atom.



# 7
The following is a DFT calculation (PBE) of an optimized crystal structure of LiScSb2.

a b c (Å): 3.3001 4.1035 6.8354
angles (deg): 90.00 97.54 90.00
Fractional coordinates of all 4 atoms:
Li 0.0000 0.0000 0.0000
Sc 0.0000 0.0000 0.5000
Sb 0.4820 0.5000 0.2528
Sb 0.5180 0.5000 0.7472

Properties
The formation energy from raw total energies is -0.553 eV per atom. As for the raw total energy: -4.676 eV per atom. As for the magnetic moment: 0.00 μB/cell. The space group is No. 10. The calculated density comes out at 5.346 g/cm3.



# 8
The following is a DFT calculation (PBE) of an optimized crystal structure of Na3PbO3.

a b c (Å): 8.0971 8.0971 4.7485
angles (deg): 90.00 90.00 119.95
Fractional coordinates of all 14 atoms:
Na 0.1524 0.8476 0.7500
Na 0.1532 0.3056 0.7500
Na 0.3056 0.1532 0.2500
Na 0.6944 0.8468 0.7500
Na 0.8468 0.6944 0.2500
Na 0.8476 0.1524 0.2500
Pb 0.3331 0.6669 0.2500
Pb 0.6669 0.3331 0.7500
O 0.1795 0.8205 0.2500
O 0.1802 0.3599 0.2500
O 0.3599 0.1802 0.7500
O 0.6401 0.8198 0.2500
O 0.8198 0.6401 0.7500
O 0.8205 0.1795 0.7500

Properties
The formation energy from raw total energies is -1.097 eV per atom. As for the raw total energy: -4.317 eV per atom. As for the magnetic moment: 1.41 μB/cell. The space group is No. 63. The calculated density comes out at 3.991 g/cm3.



# 9
The following is a DFT calculation (PBE) of an optimized crystal structure of MgTeOs2.

a b c (Å): 3.1101 4.6557 4.7442
angles (deg): 90.00 90.00 90.00
Fractional coordinates of all 4 atoms:
Mg 0.0000 0.0000 0.0000
Te 0.5000 0.0000 0.5000
Os 0.0000 0.5000 0.5000
Os 0.5000 0.5000 0.0000

Properties
The formation energy from raw total energies is 0.754 eV per atom. As for the raw total energy: -6.045 eV per atom. As for the magnetic moment: 0.78 μB/cell. The space group is No. 47. The calculated density comes out at 12.869 g/cm3.



# 10
The following is a DFT calculation (PBE) of an optimized crystal structure of TbFe4Ge12.

a b c (Å): 7.3227 7.3227 7.3227
angles (deg): 109.47 109.47 109.47
Fractional coordinates of all 17 atoms:
Tb 0.0000 0.0000 0.0000
Fe 0.0000 0.0000 0.5000
Fe 0.0000 0.5000 0.0000
Fe 0.5000 0.0000 0.0000
Fe 0.5000 0.5000 0.5000
Ge 0.1655 0.3396 0.5051
Ge 0.1655 0.6604 0.8258
Ge 0.1742 0.8345 0.3396
Ge 0.3396 0.1742 0.8345
Ge 0.3396 0.5051 0.1655
Ge 0.4949 0.8345 0.6604
Ge 0.5051 0.1655 0.3396
Ge 0.6604 0.4949 0.8345
Ge 0.6604 0.8258 0.1655
Ge 0.8258 0.1655 0.6604
Ge 0.8345 0.3396 0.1742
Ge 0.8345 0.6604 0.4949

Properties
As for the raw total energy: -5.490 eV per atom. As for the magnetic moment: 4.66 μB/cell. The space group is No. 204. The calculated density comes out at 6.889 g/cm3. The calculation puts the formation energy at 0.033 eV per atom.



# 11
The following is a DFT calculation (PBE) of an optimized crystal structure of PaAg2Pd8.

a b c (Å): 7.5429 7.5429 6.3057
angles (deg): 104.05 104.05 31.97
Fractional coordinates of all 11 atoms:
Pa 0.0000 0.0000 0.0000
Ag 0.2736 0.2736 0.3623
Ag 0.7264 0.7264 0.6377
Pd 0.0888 0.0888 0.4486
Pd 0.1797 0.1797 0.9106
Pd 0.3646 0.3646 0.8215
Pd 0.4553 0.4553 0.2742
Pd 0.5447 0.5447 0.7258
Pd 0.6354 0.6354 0.1785
Pd 0.8203 0.8203 0.0894
Pd 0.9112 0.9112 0.5514

Properties
As for the raw total energy: -5.571 eV per atom. As for the magnetic moment: 0.00 μB/cell. The space group is No. 12. The calculated density comes out at 11.728 g/cm3. The calculation puts the formation energy at -0.413 eV per atom.



# 12
The following is a DFT calculation (PBE) of an optimized crystal structure of LiGaH8N4.

a b c (Å): 6.0279 7.7627 6.1117
angles (deg): 90.00 104.47 90.00
Fractional coordinates of all 28 atoms:
Li 0.1288 0.0000 0.3978
Li 0.8712 0.5000 0.6022
Ga 0.3671 0.7232 0.6411
Ga 0.6329 0.2232 0.3589
H 0.1069 0.6661 0.2632
H 0.1576 0.9032 0.8641
H 0.2312 0.5390 0.9161
H 0.2358 0.2105 0.1228
H 0.2370 0.3190 0.3492
H 0.3091 0.4168 0.7340
H 0.3515 0.7325 0.2217
H 0.3828 0.0064 0.8394
H 0.6172 0.5064 0.1606
H 0.6485 0.2325 0.7783
H 0.6909 0.9168 0.2660
H 0.7630 0.8190 0.6508
H 0.7642 0.7105 0.8772
H 0.7688 0.0390 0.0839
H 0.8424 0.4032 0.1359
H 0.8931 0.1661 0.7368
N 0.2231 0.5285 0.7472
N 0.2384 0.7515 0.3189
N 0.2496 0.9335 0.7494
N 0.3016 0.2093 0.2946
N 0.6984 0.7093 0.7054
N 0.7504 0.4335 0.2506
N 0.7616 0.2515 0.6811
N 0.7769 0.0285 0.2528

Properties
As for the raw total energy: -5.083 eV per atom. As for the magnetic moment: 0.00 μB/cell. The space group is No. 4. The calculated density comes out at 1.688 g/cm3.



# 13
The following is a DFT calculation (PBE) of an optimized crystal structure of PbI2NO.

a b c (Å): 6.1227 6.1227 4.6740
angles (deg): 90.00 90.00 90.00
Fractional coordinates of all 5 atoms:
Pb 0.0000 0.0000 0.0000
I 0.0000 0.5000 0.0000
I 0.5000 0.0000 0.0000
N 0.0000 0.0000 0.5000
O 0.5000 0.5000 0.5000

Properties
The formation energy from raw total energies is 1.363 eV per atom. As for the raw total energy: -2.656 eV per atom. As for the magnetic moment: 2.45 μB/cell. The space group is No. 123. The calculated density comes out at 4.653 g/cm3.



# 14
The following is a DFT calculation (PBE) of an optimized crystal structure of Cr3SiIr.

a b c (Å): 4.1656 4.1656 4.1656
angles (deg): 90.00 90.00 90.00
Fractional coordinates of all 5 atoms:
Cr 0.0000 0.0000 0.5000
Cr 0.0000 0.5000 0.0000
Cr 0.5000 0.0000 0.0000
Si 0.0000 0.0000 0.0000
Ir 0.5000 0.5000 0.5000

Properties
The formation energy from raw total energies is 1.045 eV per atom. As for the raw total energy: -7.585 eV per atom. As for the magnetic moment: 0.58 μB/cell. The space group is No. 221. The calculated density comes out at 8.645 g/cm3.



# 15
The following is a DFT calculation (PBE) of an optimized crystal structure of Pm8SmEr6.

a b c (Å): 9.4474 9.4474 6.4678
angles (deg): 90.00 90.00 120.00
Fractional coordinates of all 15 atoms:
Pm 0.0395 0.7545 0.1728
Pm 0.2455 0.2850 0.1728
Pm 0.2850 0.0395 0.8272
Pm 0.3333 0.6667 0.1309
Pm 0.6667 0.3333 0.8691
Pm 0.7150 0.9605 0.1728
Pm 0.7545 0.7150 0.8272
Pm 0.9605 0.2455 0.8272
Sm 0.0000 0.0000 0.5000
Er 0.0960 0.6519 0.6659
Er 0.3481 0.4441 0.6659
Er 0.4441 0.0960 0.3341
Er 0.5559 0.9040 0.6659
Er 0.6519 0.5559 0.3341
Er 0.9040 0.3481 0.3341

Properties
As for the raw total energy: -4.491 eV per atom. As for the magnetic moment: 0.00 μB/cell. The space group is No. 147. The calculated density comes out at 7.686 g/cm3. The calculation puts the formation energy at 0.182 eV per atom.